Density functional theory data (PBE) for a relaxed structure of SiSbIO2.

The structure belongs to space group P4/mmm (No. 123); the cell edges are 4.0638, 4.0638 and 7.2283 Å and the angles 90.00°, 90.00° and 90.00°. The asymmetric unit holds Si at (0.0000, 0.0000, 0.0000), Sb at (0.5000, 0.5000, 0.5000), I at (0.5000, 0.5000, 0.0000) and O at (0.0000, 0.5000, 0.5000).

The volume is 23.87 Å³ per atom. The value obtained for the raw formation energy is -0.05 eV per atom.

=====

Density functional theory data (PBE) for a relaxed structure of SiSbI2O.

The structure belongs to space group P4/mmm (No. 123); the cell edges are 5.8429, 5.8429 and 3.5367 Å and the angles 90.00°, 90.00° and 90.00°. The asymmetric unit holds Si at (0.0000, 0.0000, 0.0000), Sb at (0.5000, 0.5000, 0.5000), I at (0.0000, 0.5000, 0.0000) and O at (0.0000, 0.0000, 0.5000).

The volume is 24.15 Å³ per atom. The value obtained for the raw formation energy is -0.21 eV per atom.

=====

Density functional theory data (PBE) for a relaxed structure of SiSbI2O.

The structure belongs to space group P4/mmm (No. 123); the cell edges are 6.1043, 6.1043 and 4.0622 Å and the angles 90.00°, 90.00° and 90.00°. The asymmetric unit holds Si at (0.0000, 0.0000, 0.0000), Sb at (0.5000, 0.5000, 0.5000), I at (0.0000, 0.5000, 0.5000) and O at (0.5000, 0.5000, 0.0000).

The volume is 30.27 Å³ per atom. The value obtained for the raw formation energy is 0.20 eV per atom.

=====

Density functional theory data (PBE) for a relaxed structure of SiSb2IO.

The structure belongs to space group P4/mmm (No. 123); the cell edges are 4.4793, 4.4793 and 6.4277 Å and the angles 90.00°, 90.00° and 90.00°. The asymmetric unit holds Si at (0.0000, 0.0000, 0.0000), Sb at (0.0000, 0.5000, 0.5000), I at (0.5000, 0.5000, 0.0000) and O at (0.5000, 0.5000, 0.5000).

The volume is 25.79 Å³ per atom. The value obtained for the raw formation energy is 0.35 eV per atom.